{
  "formula": "VCr2Ag2S6",
  "functional": "GGA-PBE",
  "state": "relaxed",
  "space_group": "No. 12",
  "raw_formation_energy_kcal_per_mol_atoms": -12.1,
  "magmom_total_mub_per_fu": 0.45,
  "dft_energy_ev_per_atom": -5.87,
  "lattice_angstrom": [[2.753, -4.991, 0.000], [2.753, 4.991, 0.000], [-2.120, 0.000, 7.359]],
  "species": ["V", "Cr", "Cr", "Ag", "Ag", "S", "S", "S", "S", "S", "S"],
  "frac_coords": [[0.000, 0.000, 0.000], [0.370, 0.630, 0.000], [0.630, 0.370, 0.000], [0.175, 0.825, 0.500], [0.825, 0.175, 0.500], [0.080, 0.724, 0.174], [0.276, 0.920, 0.826], [0.418, 0.418, 0.212], [0.582, 0.582, 0.788], [0.724, 0.080, 0.174], [0.920, 0.276, 0.826]]
}